[1]
BaNaV | PBE | optimized geometry

Energy above the most stable polymorph in this dataset: 31 kJ/mol of formula units
Crystal system: triclinic
ΔH_f (0 K): 594 meV per atom

```
BaNaV
1.0
4.323 0.000 0.000
1.905 6.376 0.000
0.186 2.087 8.968
Ba Na V
2 2 2
Cartesian
0.000 0.000 0.000
2.077 5.128 6.092
2.086 1.010 3.273
4.177 3.760 2.609
2.473 1.754 6.199
4.148 2.187 5.600
```

[2]
Na4TlI5 | PBE | optimized geometry

Crystal system: orthorhombic
Energy relative to the elements, uncorrected: -1.128 eV per atom

```
Na4TlI5
1.0
-2.330 3.370 11.792
2.330 -3.370 11.792
2.330 3.370 -11.792
Na Tl I
4 1 5
Cartesian
0.000 0.000 2.411
0.000 0.000 6.965
0.000 0.000 16.619
0.000 0.000 21.174
0.000 0.000 11.792
2.330 0.000 0.000
2.330 0.000 4.685
2.330 0.000 9.185
0.000 3.370 2.607
0.000 3.370 7.107
```

[3]
Zr2NbIn | PBE | optimized geometry

Crystal system: tetragonal
ΔH_f (0 K): 397 meV per atom

```
Zr2NbIn
1.0
-2.075 2.075 10.544
2.075 -2.075 10.544
2.075 2.075 -10.544
Zr Nb In
4 2 2
Cartesian
3.113 1.002 -2.636
1.002 1.038 2.636
-1.038 1.073 7.908
1.073 1.038 13.180
0.000 0.000 0.000
0.000 2.075 5.272
2.075 0.000 5.272
0.000 0.000 10.544
```

[4]
NiW | PBE | optimized geometry

Crystal system: tetragonal
ΔH_f (0 K): 771 meV per atom

```
NiW
1.0
4.890 0.000 0.000
0.000 4.890 0.000
0.000 0.000 4.903
Ni W
4 4
Cartesian
0.874 0.874 0.000
1.571 3.318 2.451
3.318 1.571 2.451
4.016 4.016 0.000
0.910 0.910 2.451
1.534 3.355 0.000
3.355 1.534 0.000
3.979 3.979 2.451
```

[5]
Pr6Ag2Os | PBE | optimized geometry

Energy above the most stable polymorph in this dataset: 0 kJ/mol of formula units
Crystal system: monoclinic
ΔH_f (0 K): -88 meV per atom

```
Pr6Ag2Os
1.0
6.637 0.000 0.000
0.000 8.028 0.000
-6.157 0.000 10.663
Pr Ag Os
12 4 2
Cartesian
-2.026 1.442 4.783
-5.104 2.572 10.115
-0.729 5.439 4.656
-3.807 6.603 9.987
0.971 0.201 2.653
-2.108 3.813 7.985
2.588 4.215 2.678
-0.490 7.827 8.010
4.288 1.425 0.676
1.210 2.589 6.007
5.585 5.456 0.548
2.506 6.586 5.880
-3.471 0.925 7.974
-0.392 3.089 2.643
0.873 4.939 8.020
3.951 7.103 2.689
0.000 0.000 0.000
-3.078 4.014 5.332
```

[6]
ScSNF2 | PBE | optimized geometry

Energy above the most stable polymorph in this dataset: 0 kJ/mol of formula units
Crystal system: tetragonal
Energy relative to the elements, uncorrected: -1.234 eV per atom

```
ScSNF2
1.0
3.909 0.000 0.000
0.000 3.909 0.000
0.000 0.000 4.749
Sc S N F
1 1 1 2
Cartesian
0.000 0.000 0.000
1.955 1.955 2.375
0.000 0.000 2.375
0.000 1.955 0.000
1.955 0.000 0.000
```

[7]
Ge2BiBr8 | PBE | optimized geometry

Crystal system: trigonal
Energy relative to the elements, uncorrected: -0.493 eV per atom

```
Ge2BiBr8
1.0
8.385 0.000 0.000
-4.193 7.262 0.000
0.000 0.000 8.156
Ge Bi Br
2 1 8
Cartesian
0.000 4.841 1.656
4.193 2.421 6.501
0.000 0.000 4.078
0.000 2.357 2.409
-2.151 6.083 2.409
2.042 1.179 5.747
0.000 4.841 7.442
4.193 2.421 0.714
2.151 6.083 2.409
6.344 1.179 5.747
4.193 4.905 5.747
```

[8]
VWC2 | PBE | optimized geometry

Energy above the most stable polymorph in this dataset: 158 kJ/mol of formula units
Crystal system: tetragonal
ΔH_f (0 K): 311 meV per atom

```
VWC2
1.0
-2.309 2.309 4.615
2.309 -2.309 4.615
2.309 2.309 -4.615
V W C
2 2 4
Cartesian
0.000 0.000 0.000
0.000 2.309 2.307
2.309 0.000 2.307
0.000 0.000 4.615
3.464 1.123 -1.154
1.123 1.155 1.154
-1.155 1.186 3.461
1.186 1.155 5.768
```

[9]
Pm2HfMoN5 | PBE | optimized geometry

Crystal system: orthorhombic
Energy relative to the elements, uncorrected: -1.207 eV per atom

```
Pm2HfMoN5
1.0
1.697 -6.801 0.000
1.697 6.801 0.000
0.000 0.000 10.483
Pm Hf Mo N
4 2 2 10
Cartesian
1.697 5.286 5.242
1.697 4.814 1.145
1.697 -4.814 6.386
1.697 -5.286 0.000
1.697 3.862 8.620
1.697 -3.862 3.379
1.697 0.354 2.804
1.697 -0.354 8.046
1.697 6.173 8.955
1.697 2.942 4.856
1.697 2.453 2.013
1.697 1.764 8.510
1.697 0.123 6.245
1.697 -0.123 1.003
1.697 -1.764 3.269
1.697 -2.453 7.254
1.697 -2.942 10.098
1.697 -6.173 3.714
```

[10]
YHfGa | PBE | optimized geometry

Energy above the most stable polymorph in this dataset: 0 kJ/mol of formula units
Crystal system: hexagonal
ΔH_f (0 K): -341 meV per atom

```
YHfGa
1.0
7.574 0.000 0.000
-3.787 6.559 0.000
0.000 0.000 4.215
Y Hf Ga
3 3 3
Cartesian
-2.234 3.870 0.000
1.553 2.689 0.000
4.469 0.000 0.000
-0.923 1.599 2.108
1.847 0.000 2.108
2.864 4.960 2.108
0.000 0.000 0.000
0.000 4.373 2.108
3.787 2.186 2.108
```

[11]
ZrOs2Pt | PBE | optimized geometry

Crystal system: trigonal
ΔH_f (0 K): 228 meV per atom

```
ZrOs2Pt
1.0
1.397 0.807 9.579
-1.397 0.807 9.579
0.000 -1.613 9.579
Zr Os Pt
1 2 1
Cartesian
0.000 0.000 0.000
0.000 0.000 7.047
0.000 0.000 21.688
0.000 0.000 14.368
```

[12]
ZnGeMo | PBE | optimized geometry

Energy above the most stable polymorph in this dataset: 2 kJ/mol of formula units
Crystal system: trigonal
ΔH_f (0 K): 226 meV per atom

```
ZnGeMo
1.0
2.111 1.219 6.688
-2.111 1.219 6.688
0.000 -2.437 6.688
Zn Ge Mo
2 2 2
Cartesian
0.000 0.000 2.820
0.000 0.000 17.244
0.000 0.000 8.231
0.000 0.000 11.833
0.000 0.000 5.661
0.000 0.000 14.403
```

[13]
TmScTlZn | PBE | optimized geometry

Energy above the most stable polymorph in this dataset: 13 kJ/mol of formula units
Crystal system: cubic
ΔH_f (0 K): -293 meV per atom

```
TmScTlZn
1.0
0.000 3.568 3.568
3.568 0.000 3.568
3.568 3.568 0.000
Tm Sc Tl Zn
1 1 1 1
Cartesian
0.000 0.000 0.000
3.568 3.568 3.568
5.353 5.353 5.353
1.784 1.784 1.784
```

[14]
Pu3Pt3Au | PBE | optimized geometry

Crystal system: orthorhombic
ΔH_f (0 K): -704 meV per atom

```
Pu3Pt3Au
1.0
2.125 -5.193 0.000
2.125 5.193 0.000
0.000 0.000 14.072
Pu Pt Au
6 6 2
Cartesian
2.125 4.637 10.554
2.125 1.859 8.471
2.125 1.859 12.636
2.125 -1.859 1.435
2.125 -1.859 5.601
2.125 -4.637 3.518
2.125 2.939 3.518
2.125 1.145 1.446
2.125 1.145 5.590
2.125 -1.145 8.482
2.125 -1.145 12.626
2.125 -2.939 10.554
0.000 0.000 0.000
0.000 0.000 7.036
```

[15]
RbTl2P2 | PBE | optimized geometry

Energy above the most stable polymorph in this dataset: 0 kJ/mol of formula units
Crystal system: tetragonal
ΔH_f (0 K): -95 meV per atom

```
RbTl2P2
1.0
-2.518 2.518 5.841
2.518 -2.518 5.841
2.518 2.518 -5.841
Rb Tl P
1 2 2
Cartesian
0.000 0.000 0.000
2.518 0.000 2.921
0.000 2.518 2.921
0.000 0.000 4.777
0.000 0.000 6.906
```

[16]
PmNd2Dy3As6 | PBE | optimized geometry

Crystal system: monoclinic
ΔH_f (0 K): -1522 meV per atom

```
PmNd2Dy3As6
1.0
9.130 -2.096 0.000
9.130 2.096 0.000
-1.915 0.000 8.155
Pm Nd Dy As
1 2 3 6
Cartesian
0.000 0.000 0.000
4.812 0.000 5.440
11.532 0.000 2.715
-0.957 0.000 4.078
5.766 0.000 1.359
10.578 0.000 6.796
1.878 0.000 4.798
2.923 0.000 0.633
8.604 0.000 2.069
7.740 0.000 6.086
13.421 0.000 7.522
14.466 0.000 3.357
```

[17]
AcSnRu2C | PBE | optimized geometry

Crystal system: orthorhombic
ΔH_f (0 K): -268 meV per atom

```
AcSnRu2C
1.0
2.193 -5.902 0.000
2.193 5.902 0.000
0.000 0.000 7.538
Ac Sn Ru C
2 2 4 2
Cartesian
2.193 5.239 5.653
2.193 -5.239 1.884
2.193 3.246 1.884
2.193 -3.246 5.653
2.193 1.813 4.222
2.193 1.813 7.085
2.193 -1.813 0.453
2.193 -1.813 3.316
2.193 0.000 0.000
2.193 0.000 3.769
```

[18]
ZrPRh2 | PBE | optimized geometry

Crystal system: monoclinic
ΔH_f (0 K): -700 meV per atom

```
ZrPRh2
1.0
3.747 0.000 0.000
0.000 3.628 0.000
-1.847 0.000 4.847
Zr P Rh
1 1 2
Cartesian
0.000 0.000 0.000
0.152 1.814 3.978
-0.122 0.000 2.666
1.681 1.814 1.442
```

[19]
SnPtI2O | PBE | optimized geometry

Energy above the most stable polymorph in this dataset: 162 kJ/mol of formula units
Crystal system: tetragonal
Energy relative to the elements, uncorrected: 0.301 eV per atom

```
SnPtI2O
1.0
5.883 0.000 0.000
0.000 5.883 0.000
0.000 0.000 3.935
Sn Pt I O
1 1 2 1
Cartesian
0.000 0.000 0.000
2.942 2.942 1.967
0.000 2.942 0.000
2.942 0.000 0.000
0.000 0.000 1.967
```

[20]
SrNbPb2 | PBE | optimized geometry

Crystal system: tetragonal
ΔH_f (0 K): 470 meV per atom

```
SrNbPb2
1.0
-2.773 2.773 9.584
2.773 -2.773 9.584
2.773 2.773 -9.584
Sr Nb Pb
2 2 4
Cartesian
0.000 0.000 0.000
0.000 2.773 4.792
2.773 0.000 4.792
0.000 0.000 9.584
1.386 -0.733 7.188
2.040 1.386 2.396
1.386 3.505 -2.396
0.733 1.386 11.980
```

Taking the records one at a time from the top gives V values of 41.20 37.04 22.70 14.65 31.56 14.52 45.15 12.30 13.44 23.27 16.19 17.20 22.72 22.18 29.63 26.01 19.51 16.47 27.23 36.85 Å³ per atom.